This record from the Alexandria database describes a crystal of KCrPS2 relaxed with PBEsol. The functional is SCAN.

Unit cell a=4.6521 b=4.6521 c=4.4298 alpha=90.00 beta=90.00 gamma=90.00
With the nearest neighbours (Å) after each atom.
Element x y z (fractional)
1 K 0.0000 0.0000 0.0000  8 S 3.21, 4 P 3.29
2 Cr 0.5000 0.5000 0.5000  2 P 2.21, 4 S 2.33
3 P 0.5000 0.5000 0.0000  2 Cr 2.21
4 S 0.0000 0.5000 0.5000  2 Cr 2.33
5 S 0.5000 0.0000 0.5000  2 Cr 2.33

crystal system: tetragonal
ΔE_f (raw): -32.7 kJ per mole of atoms
symmetry: P4/mmm (123)

=====

This record from the Alexandria database describes a crystal of K2CrPb relaxed with PBEsol. The functional is SCAN.

Unit cell a=3.4235 b=3.4235 c=11.1607 alpha=90.00 beta=90.00 gamma=90.00
With the nearest neighbours (Å) after each atom.
Element x y z (fractional)
1 K 0.0000 0.0000 0.2481  4 K 3.42, 4 Cr 3.68, 4 Pb 3.71
2 K 0.0000 0.0000 0.7519  4 K 3.42, 4 Cr 3.68, 4 Pb 3.71
3 Cr 0.5000 0.5000 0.0000  4 Cr 3.42, 8 K 3.68
4 Pb 0.5000 0.5000 0.5000  4 Pb 3.42, 8 K 3.71

crystal system: tetragonal
energy relative to the elements: 37 kJ/mol of atoms
symmetry: P4/mmm (123)